# K2FeCuO4 (GGA+U, optimized geometry)
data_K2FeCuO4
_chemical_formula_sum 'K16 Fe8 Cu8 O32'
_symmetry_space_group_name_H-M 'F d d d'
_symmetry_Int_Tables_number 70
_cell_length_a 5.384
_cell_length_b 12.615
_cell_length_c 17.836
_cell_angle_alpha 90.00
_cell_angle_beta 90.00
_cell_angle_gamma 90.00
loop_
_symmetry_equiv_pos_as_xyz
'x,y,z'
'-x,-y,-z'
'-x+1/4,-y+1/4,z'
'x+1/4,y+1/4,-z'
'x,-y+1/4,-z+1/4'
'-x,y+1/4,z+1/4'
'-x+1/4,y,-z+1/4'
'x+1/4,-y,z+1/4'
'x,y+1/2,z+1/2'
'-x,-y+1/2,-z+1/2'
'-x+1/4,-y+3/4,z+1/2'
'x+1/4,y+3/4,-z+1/2'
'x,-y+3/4,-z+3/4'
'-x,y+3/4,z+3/4'
'-x+1/4,y+1/2,-z+3/4'
'x+1/4,-y+1/2,z+3/4'
'x+1/2,y,z+1/2'
'-x+1/2,-y,-z+1/2'
'-x+3/4,-y+1/4,z+1/2'
'x+3/4,y+1/4,-z+1/2'
'x+1/2,-y+1/4,-z+3/4'
'-x+1/2,y+1/4,z+3/4'
'-x+3/4,y,-z+3/4'
'x+3/4,-y,z+3/4'
'x+1/2,y+1/2,z'
'-x+1/2,-y+1/2,-z'
'-x+3/4,-y+3/4,z'
'x+3/4,y+3/4,-z'
'x+1/2,-y+3/4,-z+1/4'
'-x+1/2,y+3/4,z+1/4'
'-x+3/4,y+1/2,-z+1/4'
'x+3/4,-y+1/2,z+1/4'
loop_
_atom_site_label
_atom_site_type_symbol
_atom_site_fract_x
_atom_site_fract_y
_atom_site_fract_z
K1 K 0.125 0.125 0.304
Fe1 Fe 0.125 0.125 0.625
Cu1 Cu 0.125 0.125 0.125
O1 O 0.119 0.279 0.406
# Uncorrected energy: -0.1854 Ha/atom
# D(E_F): 0.17 states/eV/f.u.